No. 1
The following is a DFT calculation (PBE) of an optimized crystal structure of KBaSe2.

Cell and atoms, written as POSCAR:
```
KBaSe2
1.0
-0.8830 -0.4699 7.9619
-5.3087 -0.9784 5.9374
-2.2217 -4.7732 6.0558
Ba K Se
1 1 2
Cartesian
-4.1883 -3.0972 9.9339
-5.6475 -4.1763 13.3951
-0.7755 -0.5735 1.8394
-2.0087 -1.4854 4.7643
```

Results
space group = No. 160
uncorrected formation energy = -5.18 eV per formula unit

No. 2
The following is a DFT calculation (PBE) of an optimized crystal structure of Ho6CdTe5.

Cell and atoms, written as POSCAR:
```
Ho6CdTe5
1.0
7.4191 0.1861 1.1299
1.8249 6.3287 3.6883
0.1238 0.0776 7.5308
Te Ho Cd
5 6 1
Cartesian
4.1079 1.2453 6.1161
0.6533 2.1503 3.7124
4.6220 3.2574 2.4091
1.2953 4.2561 7.5067
5.2599 5.3472 6.2329
5.8277 0.6646 3.5688
2.9097 3.8673 4.9025
2.2576 1.5446 1.1515
6.9864 4.9702 3.6667
6.4581 2.7252 7.4465
3.5401 5.9278 8.7802
0.0000 0.0000 0.0000
```

Results
space group = No. 12
uncorrected formation energy = -13.18 eV per formula unit

No. 3
The following is a DFT calculation (PBE) of an optimized crystal structure of CdP.

Cell and atoms, written as POSCAR:
```
CdP
1.0
2.4846 -4.3034 0.0000
2.4846 4.3034 0.0000
0.0000 0.0000 8.1364
Cd P
4 4
Cartesian
0.0000 0.0000 2.0341
0.0000 0.0000 6.1023
2.4846 1.4345 6.1023
2.4846 -1.4345 2.0341
2.4846 1.4345 0.9226
2.4846 -1.4345 4.9909
2.4846 -1.4345 7.2138
2.4846 1.4345 3.1456
```

Results
space group = No. 194
polymorph energy (0 for the lowest one) = 586 meV/atom

No. 4
The following is a DFT calculation (PBE) of an optimized crystal structure of InNi2Br.

Cell and atoms, written as POSCAR:
```
InNi2Br
1.0
6.3509 0.0786 0.2996
5.0382 3.8673 0.2996
0.7111 0.2464 3.2628
Br In Ni
1 1 2
Cartesian
6.8196 2.3628 3.0197
3.2127 1.1131 0.4870
11.1542 3.8646 3.6817
9.0639 3.1404 2.4668
```

Results
space group = No. 8
uncorrected formation energy = 0.29 eV per formula unit
polymorph energy (0 for the lowest one) = 26 meV/atom

No. 5
The following is a DFT calculation (PBE) of an optimized crystal structure of Ac2Ni3AgGe4.

Cell and atoms, written as POSCAR:
```
Ac2Ni3AgGe4
1.0
-1.0373 0.8140 -4.1706
-4.0901 -1.3555 0.7527
-2.6621 9.4213 2.5010
Ac Ni Ag Ge
2 3 1 4
Cartesian
-1.1709 2.7153 -1.4726
-4.0549 6.4353 2.2646
-1.3311 4.7106 1.2505
-2.8738 8.7422 0.1274
-2.3519 0.4084 0.6647
-3.8947 4.4399 -0.4585
-2.5637 -0.2707 -1.7090
0.0000 0.0000 0.0000
-2.2249 6.4456 -0.4823
-3.0009 2.7050 1.2743
```

Results
space group = No. 115
DFT total energy = -52.4 eV per cell

No. 6
The following is a DFT calculation (PBE) of an optimized crystal structure of ErLuZrIn.

Cell and atoms, written as POSCAR:
```
ErLuZrIn
1.0
-3.9469 1.5541 3.1335
-4.9978 -0.5102 -1.6043
-3.1415 -3.5838 2.2584
Lu In Zr Er
1 1 1 1
Cartesian
-9.0647 -1.9049 2.8407
-6.0431 -1.2699 1.8938
0.0000 0.0000 0.0000
-3.0216 -0.6350 0.9469
```

Results
space group = No. 216
DFT total energy = -20.6 eV per cell

No. 7
The following is a DFT calculation (PBE) of an optimized crystal structure of La2Nd4DyTh.

Cell and atoms, written as POSCAR:
```
La2Nd4DyTh
1.0
5.1906 0.0000 0.0000
0.0000 5.0255 1.2670
0.0001 2.4905 11.3031
La Nd Dy Th
2 4 1 1
Cartesian
0.0001 2.4905 11.3031
2.5953 1.2452 5.6516
0.0001 5.6506 9.3816
5.1906 1.8654 3.1885
2.5954 4.3813 3.8166
2.5953 3.1348 8.7535
2.5954 5.0033 11.9366
0.0001 3.7580 6.2851
```

Results
space group = No. 123
DFT total energy = -40.6 eV per cell

No. 8
The following is a DFT calculation (PBE) of an optimized crystal structure of BaMoSe2.

Cell and atoms, written as POSCAR:
```
BaMoSe2
1.0
-1.6824 1.4007 3.5613
-0.8745 -2.6734 3.0925
5.2497 0.4961 4.7365
Ba Mo Se
1 1 2
Cartesian
2.0196 -0.5825 8.5428
0.6732 -0.1942 2.8476
-2.1464 -1.2108 6.8234
0.9359 -0.4502 5.5257
```

Results
space group = No. 166
uncorrected formation energy = -3.04 eV per formula unit
polymorph energy (0 for the lowest one) = 0 meV/atom

No. 9
The following is a DFT calculation (PBE) of an optimized crystal structure of Cu2BF8.

Cell and atoms, written as POSCAR:
```
Cu2BF8
1.0
-2.3276 0.2596 2.9138
-3.4643 -1.8489 -2.6026
4.1651 -6.6574 3.4489
Cu B F
2 1 8
Cartesian
-0.1873 -5.8261 0.1245
-1.4395 -2.4205 3.6356
0.0000 0.0000 0.0000
-4.6543 -2.1396 1.0895
1.1082 -7.1314 1.2288
-1.3284 -5.7717 1.6047
-0.2984 -2.4749 2.1554
-2.7350 -1.1153 2.5313
3.0275 -6.1071 2.6706
-3.0118 -3.8737 2.4972
1.3850 -4.3730 1.2629
```

Results
space group = No. 12
uncorrected formation energy = -17.63 eV per formula unit